BaTl2Hg, optimized geometry, DFT PBEsol; density of states at the Fermi level = 1.86 states/eV/cell; distance to the lowest polymorph of the same formula = 62 meV per atom
1.0
3.9491 0.0000 0.0000
0.0000 3.9491 0.0000
0.0000 0.0000 7.7309
Ba Hg Tl
1 1 2
direct
0.0000 0.0000 0.5120 Ba
0.5000 0.5000 0.7808 Hg
0.5000 0.5000 0.2154 Tl
0.0000 0.0000 0.9919 Tl

AgAsPt2, optimized geometry, DFT PBEsol; E_tot = -5.62 eV/atom; density of states at the Fermi level = 1.70 states/eV/cell
1.0
-1.7662 2.1403 -1.0804
-0.9026 -1.8368 -2.1631
-5.3055 -2.2823 4.1519
Ag Pt As
1 2 1
direct
0.5000 0.5000 0.0000 Ag
0.0000 0.0000 0.7305 Pt
0.0000 0.0000 0.2695 Pt
0.5000 0.5000 0.5000 As

TeSeBr2, optimized geometry, DFT PBEsol; raw formation energy = 0.4222 eV per atom; density of states at the Fermi level = 3.05 states/eV/cell; distance to the lowest polymorph of the same formula = 349 meV per atom
1.0
3.2618 0.0000 0.0000
0.0000 5.4561 -0.0037
0.0000 -1.6223 5.2093
Te Br Se
1 2 1
direct
0.5000 0.5000 0.5000 Te
0.0000 0.5000 0.0000 Br
0.0000 0.0000 0.5000 Br
0.5000 0.0000 0.0000 Se

ZrTa2Tc, optimized geometry, DFT PBEsol; density of states at the Fermi level = 4.54 states/eV/cell; distance to the lowest polymorph of the same formula = 129 meV per atom
1.0
-1.9709 0.6673 -4.0929
2.2149 -1.2023 -3.8380
-1.4550 -3.5930 -2.4605
Ta Zr Tc
2 1 1
direct
0.2500 0.2500 0.2500 Ta
0.7500 0.7500 0.7500 Ta
0.5000 0.5000 0.5000 Zr
0.0000 0.0000 0.0000 Tc

La2CoSb, optimized geometry, DFT PBEsol; raw formation energy = -0.3708 eV per atom; density of states at the Fermi level = 7.29 states/eV/cell; distance to the lowest polymorph of the same formula = 37 meV per atom
1.0
-2.6299 -2.1254 -5.1270
3.6379 -0.5678 -5.3092
0.0484 -6.3730 -1.0614
La Co Sb
4 2 2
direct
0.3750 0.4289 0.0711 La
0.1961 0.9289 0.4289 La
0.5539 0.0711 0.5711 La
0.8750 0.5711 0.9289 La
0.5000 0.0000 0.0000 Co
0.2500 0.5000 0.5000 Co
0.0000 0.0000 0.0000 Sb
0.7500 0.5000 0.5000 Sb

Zn2CoRe, optimized geometry, DFT PBEsol; density of states at the Fermi level = 2.28 states/eV/cell; distance to the lowest polymorph of the same formula = 0 meV per atom
1.0
-2.5152 -0.6094 0.7277
0.4103 -2.5566 -0.7230
2.2585 -1.4918 6.5567
Re Zn Co
1 2 1
direct
0.5000 0.5000 0.7261 Re
0.0000 0.0000 0.0013 Zn
0.5000 0.5000 0.2697 Zn
0.0000 0.0000 0.5029 Co

BaHgTeN2, optimized geometry, DFT PBEsol; raw formation energy = 1.4215 eV per atom; density of states at the Fermi level = 2.90 states/eV/cell; distance to the lowest polymorph of the same formula = 456 meV per atom
1.0
4.9947 0.0000 0.0000
0.0000 4.9947 0.0000
0.0000 0.0000 6.9821
Hg Te Ba N
1 1 1 2
direct
0.5000 0.5000 0.5000 Hg
0.0000 0.0000 0.5000 Te
0.0000 0.0000 0.0000 Ba
0.0000 0.5000 0.0000 N
0.5000 0.0000 0.0000 N

KTaAlGe2, optimized geometry, DFT PBEsol; E_tot = -4.56 eV/atom; density of states at the Fermi level = 4.05 states/eV/cell
1.0
5.0011 0.0000 0.0000
0.0000 5.0011 0.0000
0.0000 0.0000 5.8122
Ge Al K Ta
2 1 1 1
direct
0.5000 0.0000 0.0000 Ge
0.0000 0.5000 0.0000 Ge
0.5000 0.5000 0.5000 Al
0.0000 0.0000 0.5000 K
0.0000 0.0000 0.0000 Ta

AlAs2Br, optimized geometry, DFT PBEsol; raw formation energy = 0.2687 eV per atom; density of states at the Fermi level = 2.02 states/eV/cell; distance to the lowest polymorph of the same formula = 270 meV per atom
1.0
-0.2821 4.6437 1.1136
-4.0286 2.4281 -0.8708
-2.7668 1.4246 3.6331
Al As Br
1 2 1
direct
0.5000 0.5000 0.5000 Al
0.0000 0.0000 0.0000 As
0.2500 0.2500 0.2500 As
0.7500 0.7500 0.7500 Br

Nd2TiCuO6, optimized geometry, DFT PBEsol; raw formation energy = -2.7741 eV per atom; density of states at the Fermi level = 4.18 states/eV/cell
1.0
-1.2881 5.1056 -1.2736
-4.0851 -1.9303 -3.6064
-5.0092 0.0795 5.6315
O Ti Cu Nd
12 2 2 4
direct
0.4065 0.4720 0.2491 O
0.9065 0.0280 0.7491 O
0.7916 0.3178 0.4529 O
0.1857 0.7112 0.9506 O
0.7084 0.8178 0.0471 O
0.8143 0.2888 0.0494 O
0.2916 0.1822 0.9529 O
0.5935 0.5280 0.7509 O
0.0935 0.9720 0.2509 O
0.6857 0.7888 0.4506 O
0.3143 0.2112 0.5494 O
0.2084 0.6822 0.5471 O
0.0000 0.0000 0.0000 Ti
0.5000 0.5000 0.5000 Ti
0.0000 0.0000 0.5000 Cu
0.5000 0.5000 0.0000 Cu
0.4841 0.9309 0.7503 Nd
0.5159 0.0691 0.2497 Nd
0.0159 0.4309 0.7497 Nd
0.9841 0.5691 0.2503 Nd

BaCd3, optimized geometry, DFT PBEsol; E_tot = -1.45 eV/atom; density of states at the Fermi level = 2.63 states/eV/cell
1.0
-3.6197 -1.0089 2.3731
0.2025 -1.0719 -4.3084
3.1019 -6.8042 1.8387
Cd Ba
3 1
direct
0.3333 0.6667 0.6923 Cd
0.0000 0.0000 0.5000 Cd
0.3333 0.6667 0.3077 Cd
0.0000 0.0000 0.0000 Ba

FeGeF2, optimized geometry, DFT PBEsol; raw formation energy = -1.0413 eV per atom; density of states at the Fermi level = 1.70 states/eV/cell; distance to the lowest polymorph of the same formula = 60 meV per atom
1.0
2.8044 0.0000 0.0000
1.4022 2.4287 0.0000
1.4022 0.8096 7.6911
F Ge Fe
2 1 1
direct
0.0787 0.0787 0.7638 F
0.9213 0.9213 0.2362 F
0.5000 0.5000 0.5000 Ge
0.0000 0.0000 0.0000 Fe

BeCo2Se, optimized geometry, DFT PBEsol; raw formation energy = -0.0003 eV per atom; density of states at the Fermi level = 3.63 states/eV/cell; distance to the lowest polymorph of the same formula = 0 meV per atom
1.0
-1.2250 -0.9214 -2.4439
-0.3691 -3.5254 1.5142
-2.7590 2.3535 2.1984
Co Be Se
2 1 1
direct
0.2407 0.6925 0.4814 Co
0.0116 0.0807 0.0232 Co
0.7437 0.1754 0.4874 Be
0.5040 0.5514 0.0080 Se

AsRhBr4, optimized geometry, DFT PBEsol; raw formation energy = 1.3112 eV per atom; density of states at the Fermi level = 10.37 states/eV/cell
1.0
-3.4504 -4.7080 -0.1143
1.6213 -4.7350 -3.0057
1.5881 -4.8524 2.8311
Br Rh As
4 1 1
direct
0.8731 0.3756 0.3756 Br
0.3756 0.3756 0.3756 Br
0.3756 0.8731 0.3756 Br
0.3756 0.3756 0.8731 Br
0.7500 0.7500 0.7500 Rh
0.0000 0.0000 0.0000 As

| no. | total magnetization (μB/f.u.) |
| --- | --- |
| 1 | 0.000 |
| 2 | 0.000 |
| 3 | 0.000 |
| 4 | 0.000 |
| 5 | 0.000 |
| 6 | 0.160 |
| 7 | 4.599 |
| 8 | 0.174 |
| 9 | 0.000 |
| 10 | 1.009 |
| 11 | 0.000 |
| 12 | 3.254 |
| 13 | 0.001 |
| 14 | 1.091 |